Entry w
DFT (PBE) results for an optimized crystal structure of TbTm4Pd2.

Cell and atoms, written as POSCAR:
```
TbTm4Pd2
1.0
3.801 0.000 0.000
1.901 3.292 0.000
1.901 1.097 15.508
Tm Tb Pd
4 1 2
direct
0.698 0.698 0.907 Tm
0.894 0.894 0.317 Tm
0.106 0.106 0.683 Tm
0.302 0.302 0.093 Tm
0.500 0.500 0.500 Tb
0.598 0.598 0.205 Pd
0.402 0.402 0.795 Pd
```

Its total magnetic moment is 0.00 μB/cell. Its mass density is 9.0 g/cm³. Its crystal system is trigonal.

=====

Entry x
DFT (PBE) results for an optimized crystal structure of TbTm4Pd2.

Cell and atoms, written as POSCAR:
```
TbTm4Pd2
1.0
6.306 0.000 0.000
0.000 7.177 -3.002
0.000 0.015 8.006
Tm Pd Tb
8 4 2
direct
0.003 0.593 0.231 Tm
0.997 0.407 0.769 Tm
0.750 0.752 0.652 Tm
0.250 0.248 0.348 Tm
0.250 0.979 0.607 Tm
0.750 0.021 0.393 Tm
0.503 0.407 0.769 Tm
0.497 0.593 0.231 Tm
0.750 0.382 0.420 Pd
0.250 0.245 0.991 Pd
0.750 0.755 0.009 Pd
0.250 0.618 0.580 Pd
0.250 0.846 0.977 Tb
0.750 0.154 0.023 Tb
```

Its total magnetic moment is 0.00 μB/cell. Its mass density is 9.6 g/cm³. Its crystal system is monoclinic.

=====

Verdict on stability: entry x comes out on top.

=====

Entry w
DFT (PBE) results for an optimized crystal structure of TbTmZnPd.

Cell and atoms, written as POSCAR:
```
TbTmZnPd
1.0
4.981 0.000 0.000
2.490 4.313 0.000
2.490 1.438 4.067
Tb Pd Zn Tm
1 1 1 1
direct
0.750 0.750 0.750 Tb
0.000 0.000 0.000 Pd
0.500 0.500 0.500 Zn
0.250 0.250 0.250 Tm
```

Its total magnetic moment is 0.00 μB/cell. Its mass density is 9.5 g/cm³. Its crystal system is cubic.

=====

Entry x
DFT (PBE) results for an optimized crystal structure of TbTmZnPd.

Cell and atoms, written as POSCAR:
```
TbTmZnPd
1.0
-1.409 0.387 -3.222
0.843 -3.348 -0.771
-6.166 -2.116 2.443
Tb Tm Zn Pd
1 1 1 1
direct
0.000 0.000 0.860 Tb
0.000 0.000 0.352 Tm
0.500 0.500 0.599 Zn
0.500 0.500 0.117 Pd
```

Its total magnetic moment is 0.00 μB/cell. Its mass density is 9.5 g/cm³. Its crystal system is tetragonal.

=====

Verdict on stability: entry x comes out on top.

=====

Entry w
DFT (PBE) results for an optimized crystal structure of Tb4YPd2.

Cell and atoms, written as POSCAR:
```
Tb4YPd2
1.0
-0.383 -1.022 3.857
2.939 -2.009 1.843
7.126 11.872 5.937
Tb Y Pd
4 1 2
direct
0.698 0.698 0.905 Tb
0.302 0.302 0.095 Tb
0.896 0.896 0.312 Tb
0.104 0.104 0.688 Tb
0.500 0.500 0.500 Y
0.401 0.401 0.797 Pd
0.599 0.599 0.203 Pd
```

Its total magnetic moment is 0.00 μB/cell. Its mass density is 7.5 g/cm³. Its crystal system is trigonal.

=====

Entry x
DFT (PBE) results for an optimized crystal structure of Tb4YPd2.

Cell and atoms, written as POSCAR:
```
Tb4YPd2
1.0
6.393 0.000 0.000
0.000 7.247 -3.056
0.000 0.007 8.141
Y Tb Pd
2 8 4
direct
0.250 0.845 0.975 Y
0.750 0.155 0.025 Y
0.250 0.246 0.348 Tb
0.505 0.408 0.772 Tb
0.495 0.592 0.228 Tb
0.005 0.592 0.228 Tb
0.995 0.408 0.772 Tb
0.250 0.980 0.610 Tb
0.750 0.020 0.390 Tb
0.750 0.754 0.652 Tb
0.250 0.619 0.581 Pd
0.750 0.381 0.419 Pd
0.250 0.236 0.992 Pd
0.750 0.764 0.008 Pd
```

Its total magnetic moment is 0.00 μB/cell. Its mass density is 8.3 g/cm³. Its crystal system is monoclinic.

=====

Verdict on stability: entry x comes out on top.

=====

Entry w
DFT (PBE) results for an optimized crystal structure of Tb2Y3Pd2.

Cell and atoms, written as POSCAR:
```
Tb2Y3Pd2
1.0
-1.355 1.422 3.150
-0.369 -6.462 0.570
8.179 3.643 1.874
Y Tb Pd
3 2 2
direct
0.613 0.225 0.438 Y
0.500 0.000 0.000 Y
0.387 0.775 0.562 Y
0.160 0.320 0.813 Tb
0.840 0.680 0.187 Tb
0.827 0.654 0.765 Pd
0.173 0.346 0.235 Pd
```

Its total magnetic moment is 0.00 μB/cell. Its mass density is 7.0 g/cm³. Its crystal system is monoclinic.

=====

Entry x
DFT (PBE) results for an optimized crystal structure of Tb2Y3Pd2.

Cell and atoms, written as POSCAR:
```
Tb2Y3Pd2
1.0
-0.990 3.148 1.719
1.003 -4.612 9.037
4.760 1.277 4.415
Tb Y Pd
2 3 2
direct
0.388 0.627 0.225 Tb
0.612 0.373 0.775 Tb
0.000 0.000 0.000 Y
0.842 0.288 0.315 Y
0.158 0.712 0.685 Y
0.358 0.073 0.283 Pd
0.642 0.927 0.717 Pd
```

Its total magnetic moment is 0.00 μB/cell. Its mass density is 6.9 g/cm³. Its crystal system is triclinic.

=====

Verdict on stability: entry w comes out on top.

=====

Entry w
DFT (PBE) results for an optimized crystal structure of TbY4Pd2.

Cell and atoms, written as POSCAR:
```
TbY4Pd2
1.0
3.883 0.000 0.000
1.941 3.362 0.000
1.941 1.121 15.632
Tb Y Pd
1 4 2
direct
0.500 0.500 0.500 Tb
0.302 0.302 0.094 Y
0.894 0.894 0.317 Y
0.106 0.106 0.683 Y
0.698 0.698 0.906 Y
0.402 0.402 0.794 Pd
0.598 0.598 0.206 Pd
```

Its total magnetic moment is 0.00 μB/cell. Its mass density is 5.9 g/cm³. Its crystal system is trigonal.

=====

Entry x
DFT (PBE) results for an optimized crystal structure of TbY4Pd2.

Cell and atoms, written as POSCAR:
```
TbY4Pd2
1.0
6.406 0.000 0.000
0.000 7.229 -3.063
0.000 0.015 8.169
Y Pd Tb
8 4 2
direct
0.505 0.408 0.771 Y
0.750 0.021 0.391 Y
0.250 0.245 0.348 Y
0.005 0.592 0.229 Y
0.495 0.592 0.229 Y
0.250 0.979 0.609 Y
0.750 0.755 0.652 Y
0.995 0.408 0.771 Y
0.750 0.382 0.417 Pd
0.250 0.618 0.583 Pd
0.750 0.764 0.009 Pd
0.250 0.236 0.991 Pd
0.250 0.846 0.973 Tb
0.750 0.154 0.027 Tb
```

Its total magnetic moment is 0.00 μB/cell. Its mass density is 6.4 g/cm³. Its crystal system is monoclinic.

=====

Verdict on stability: entry x comes out on top.

=====

Entry w
DFT (PBE) results for an optimized crystal structure of TbYZnPd.

Cell and atoms, written as POSCAR:
```
TbYZnPd
1.0
-1.653 3.049 -0.842
-3.155 -1.524 0.675
0.427 2.079 6.691
Pd Y Zn Tb
1 1 1 1
direct
0.000 0.000 0.355 Pd
0.500 0.500 0.604 Y
0.000 0.000 0.857 Zn
0.500 0.500 0.112 Tb
```

Its total magnetic moment is 0.00 μB/cell. Its mass density is 7.8 g/cm³. Its crystal system is tetragonal.

=====

Entry x
DFT (PBE) results for an optimized crystal structure of TbYZnPd.

Cell and atoms, written as POSCAR:
```
TbYZnPd
1.0
5.021 0.000 0.000
2.511 4.348 0.000
2.511 1.449 4.100
Y Pd Zn Tb
1 1 1 1
direct
0.750 0.750 0.750 Y
0.500 0.500 0.500 Pd
0.000 0.000 0.000 Zn
0.250 0.250 0.250 Tb
```

Its total magnetic moment is 0.00 μB/cell. Its mass density is 7.8 g/cm³. Its crystal system is cubic.

=====

Verdict on stability: entry w comes out on top.

=====

Entry w
DFT (PBE) results for an optimized crystal structure of TbZn2Pd2.

Cell and atoms, written as POSCAR:
```
TbZn2Pd2
1.0
-0.682 -1.487 -3.515
-1.936 -2.942 1.620
-3.933 5.467 0.589
Pd Zn Tb
2 2 1
direct
0.609 0.609 0.218 Pd
0.391 0.391 0.782 Pd
0.250 0.750 0.500 Zn
0.750 0.250 0.500 Zn
0.000 0.000 0.000 Tb
```

Its total magnetic moment is 0.00 μB/cell. Its mass density is 9.0 g/cm³. Its crystal system is tetragonal.

=====

Entry x
DFT (PBE) results for an optimized crystal structure of TbZn2Pd2.

Cell and atoms, written as POSCAR:
```
TbZn2Pd2
1.0
-3.780 -1.248 -2.334
2.534 -3.496 -2.235
-2.716 -4.135 6.609
Pd Zn Tb
4 4 2
direct
0.250 0.798 0.507 Pd
0.750 0.202 0.493 Pd
0.250 0.110 0.903 Pd
0.750 0.890 0.097 Pd
0.750 0.358 0.003 Zn
0.750 0.665 0.354 Zn
0.250 0.642 0.997 Zn
0.250 0.335 0.646 Zn
0.250 0.212 0.268 Tb
0.750 0.788 0.732 Tb
```

Its total magnetic moment is 0.00 μB/cell. Its mass density is 9.2 g/cm³. Its crystal system is monoclinic.

=====

Verdict on stability: entry x comes out on top.

=====

Entry w
DFT (PBE) results for an optimized crystal structure of Tb4ZnPd2.

Cell and atoms, written as POSCAR:
```
Tb4ZnPd2
1.0
4.915 0.000 0.000
0.000 5.776 -1.936
0.000 -0.030 6.092
Tb Pd Zn
4 2 1
direct
0.000 0.758 0.758 Tb
0.500 0.500 0.000 Tb
0.500 0.000 0.500 Tb
0.000 0.242 0.242 Tb
0.000 0.260 0.740 Pd
0.000 0.740 0.260 Pd
0.500 0.500 0.500 Zn
```

Its total magnetic moment is 0.00 μB/cell. Its mass density is 8.8 g/cm³. Its crystal system is orthorhombic.

=====

Entry x
DFT (PBE) results for an optimized crystal structure of Tb4ZnPd2.

Cell and atoms, written as POSCAR:
```
Tb4ZnPd2
1.0
4.822 0.000 0.000
2.411 4.176 0.000
2.411 1.392 9.004
Tb Pd Zn
4 2 1
direct
0.206 0.206 0.383 Tb
0.794 0.794 0.617 Tb
0.621 0.621 0.137 Tb
0.379 0.379 0.863 Tb
0.096 0.096 0.712 Pd
0.904 0.904 0.288 Pd
0.000 0.000 0.000 Zn
```

Its total magnetic moment is 0.00 μB/cell. Its mass density is 8.4 g/cm³. Its crystal system is trigonal.

=====

Verdict on stability: entry w comes out on top.